Below is an optimized crystal structure of SbAsI2N, with properties calculated at the GGA-PBEsol level.

## Properties
Energy above the most stable polymorph in this dataset in eV/f.u.: 0.11
Raw formation energy in meV per atom: 935.5

abc: 5.962 5.962 3.883
angles: 90.00 90.00 90.00
Atoms (fractional coordinates):
Sb1 0.000 0.000 0.000
As1 0.500 0.500 0.500
I1 0.000 0.500 0.000
I2 0.500 0.000 0.000
N1 0.000 0.000 0.500